Entry 1:
An optimized crystal structure of NiHgPt2, computed with PBE.

Unit cell a=3.9806 b=3.9806 c=4.0052 alpha=90.00 beta=90.00 gamma=90.00
With the nearest neighbours (Å) after each atom.
Fractional positions:
1 Ni 0.0000 0.0000 0.0000  4 Hg 2.81, 8 Pt 2.82
2 Hg 0.5000 0.5000 0.0000  4 Ni 2.81, 8 Pt 2.82
3 Pt 0.0000 0.5000 0.5000  4 Pt 2.81, 4 Hg 2.82, 4 Ni 2.82
4 Pt 0.5000 0.0000 0.5000  4 Pt 2.81, 4 Hg 2.82, 4 Ni 2.82

Values from the calculation:
- ΔH_f (0 K): 0.077 eV per atom

Entry 2:
An optimized crystal structure of Tl4BiPb15, computed with PBE.

Unit cell a=6.0407 b=6.0407 c=17.4712 alpha=90.00 beta=90.00 gamma=90.00
With the nearest neighbours (Å) after each atom.
Fractional positions:
1 Tl 0.0000 0.0000 0.0990  2 Tl 3.46, 8 Pb 3.48
2 Tl 0.0000 0.0000 0.2969  1 Tl 3.46, 8 Pb 3.48-3.54, 1 Bi 3.55
3 Tl 0.0000 0.0000 0.7031  1 Tl 3.46, 8 Pb 3.48-3.54, 1 Bi 3.55
4 Tl 0.0000 0.0000 0.9010  2 Tl 3.46, 8 Pb 3.48
5 Bi 0.0000 0.0000 0.5000  8 Pb 3.46, 2 Tl 3.55
6 Pb 0.0000 0.5000 0.0000  6 Pb 3.46-3.47, 4 Tl 3.48
7 Pb 0.0000 0.5000 0.1982  6 Pb 3.46-3.58, 4 Tl 3.48
8 Pb 0.0000 0.5000 0.4030  6 Pb 3.39-3.58, 2 Bi 3.46, 2 Tl 3.54
9 Pb 0.0000 0.5000 0.5970  6 Pb 3.39-3.58, 2 Bi 3.46, 2 Tl 3.54
10 Pb 0.0000 0.5000 0.8018  6 Pb 3.46-3.58, 4 Tl 3.48
11 Pb 0.5000 0.0000 0.0000  6 Pb 3.46-3.47, 4 Tl 3.48
12 Pb 0.5000 0.0000 0.1982  6 Pb 3.46-3.58, 4 Tl 3.48
13 Pb 0.5000 0.0000 0.4030  6 Pb 3.39-3.58, 2 Bi 3.46, 2 Tl 3.54
14 Pb 0.5000 0.0000 0.5970  6 Pb 3.39-3.58, 2 Bi 3.46, 2 Tl 3.54
15 Pb 0.5000 0.0000 0.8018  6 Pb 3.46-3.58, 4 Tl 3.48
16 Pb 0.5000 0.5000 0.0981  10 Pb 3.43-3.52
17 Pb 0.5000 0.5000 0.2997  10 Pb 3.50-3.52
18 Pb 0.5000 0.5000 0.5000  10 Pb 3.46-3.50
19 Pb 0.5000 0.5000 0.7003  10 Pb 3.50-3.52
20 Pb 0.5000 0.5000 0.9019  10 Pb 3.43-3.52

Values from the calculation:
- ΔH_f (0 K): 0.041 eV per atom

Entry 3:
An optimized crystal structure of HgSbSe2, computed with PBE.

Unit cell a=3.9523 b=3.9523 c=15.4380 alpha=90.00 beta=90.00 gamma=90.00
With the nearest neighbours (Å) after each atom.
Fractional positions:
1 Hg 0.0000 0.0000 0.0000  4 Se 2.79
2 Hg 0.5000 0.5000 0.5000  4 Se 2.79
3 Sb 0.0000 0.5000 0.7500  4 Se 2.79
4 Sb 0.5000 0.0000 0.2500  4 Se 2.79
5 Se 0.0000 0.0000 0.5000  4 Hg 2.79
6 Se 0.0000 0.5000 0.2500  4 Sb 2.79
7 Se 0.5000 0.0000 0.7500  4 Sb 2.79
8 Se 0.5000 0.5000 0.0000  4 Hg 2.79

Values from the calculation:
- Offset from the most stable computed form: 283 meV per atom

Entry 4:
An optimized crystal structure of Ac2H3Rh, computed with PBE.

Unit cell a=8.5098 b=8.4855 c=5.6068 alpha=70.97 beta=70.50 gamma=38.53
With the nearest neighbours (Å) after each atom.
Fractional positions:
1 Ac 0.2420 0.7580 0.7580  2 Rh 2.91, 4 H 3.11
2 Ac 0.2500 0.2500 0.2500  8 H 2.81
3 Ac 0.7500 0.7500 0.7500  8 H 2.81
4 Ac 0.7580 0.2420 0.2420  2 Rh 2.91, 4 H 3.11
5 H 0.0944 0.6692 0.3308  1 Rh 1.75
6 H 0.2661 0.2661 0.7339  1 Rh 1.80
7 H 0.3308 0.9056 0.0944  1 Rh 1.75
8 H 0.6692 0.0944 0.9056  1 Rh 1.75
9 H 0.7339 0.7339 0.2661  1 Rh 1.80
10 H 0.9056 0.3308 0.6692  1 Rh 1.75
11 Rh 0.1463 0.1463 0.8537  3 H 1.75-1.80
12 Rh 0.8537 0.8537 0.1463  3 H 1.75-1.80

Values from the calculation:
- Calculated total energy: -4.69 eV per atom

Entry 5:
An optimized crystal structure of ScCd2, computed with PBE.

Unit cell a=6.9817 b=6.9817 c=6.1809 alpha=90.00 beta=90.00 gamma=90.00
With the nearest neighbours (Å) after each atom.
Fractional positions:
1 Sc 0.0000 0.0000 0.2500  8 Cd 3.07, 2 Sc 3.09
2 Sc 0.0000 0.0000 0.7500  8 Cd 3.07, 2 Sc 3.09
3 Sc 0.5000 0.5000 0.2500  8 Cd 3.07, 2 Sc 3.09
4 Sc 0.5000 0.5000 0.7500  8 Cd 3.07, 2 Sc 3.09
5 Cd 0.1522 0.3478 0.0000  1 Cd 3.00, 4 Sc 3.07
6 Cd 0.1522 0.6522 0.5000  1 Cd 3.00, 4 Sc 3.07
7 Cd 0.3478 0.1522 0.5000  1 Cd 3.00, 4 Sc 3.07
8 Cd 0.3478 0.8478 0.0000  1 Cd 3.00, 4 Sc 3.07
9 Cd 0.6522 0.1522 0.0000  1 Cd 3.00, 4 Sc 3.07
10 Cd 0.6522 0.8478 0.5000  1 Cd 3.00, 4 Sc 3.07
11 Cd 0.8478 0.3478 0.5000  1 Cd 3.00, 4 Sc 3.07
12 Cd 0.8478 0.6522 0.0000  1 Cd 3.00, 4 Sc 3.07

Values from the calculation:
- ΔH_f (0 K): 0.074 eV per atom

Entry 6:
An optimized crystal structure of Li3Tl2Cd, computed with PBE.

Unit cell a=3.4326 b=3.4326 c=10.2685 alpha=90.00 beta=90.00 gamma=90.00
With the nearest neighbours (Å) after each atom.
Fractional positions:
1 Li 0.0000 0.0000 0.0000  8 Tl 3.00
2 Li 0.0000 0.0000 0.3405  4 Cd 2.93, 4 Tl 2.98, 1 Li 3.28
3 Li 0.0000 0.0000 0.6595  4 Cd 2.93, 4 Tl 2.98, 1 Li 3.28
4 Tl 0.5000 0.5000 0.1714  8 Li 2.98-3.00
5 Tl 0.5000 0.5000 0.8286  8 Li 2.98-3.00
6 Cd 0.5000 0.5000 0.5000  8 Li 2.93

Values from the calculation:
- ΔH_f (0 K): -0.232 eV per atom